Here is a geometry-optimized Li3Mg2In6 structure from Alexandria via LeMat-Bulk. Energies are from PBE-GGA.

Computed properties:
- Final energy: -2.342 eV/atom
- Formation energy: -0.037 eV per atom

a = 4.354 Å, b = 4.354 Å, c = 28.883 Å
α = 90.00°, β = 90.00°, γ = 90.00°
Space group I4/mmm (No. 139)
Asymmetric unit:
Li (0.000, 0.000, 0.000) [2 per cell]
Li (0.000, 0.000, 0.195) [4 per cell]
Mg (0.000, 0.000, 0.450) [4 per cell]
In (0.000, 0.000, 0.294) [4 per cell]
In (0.000, 0.500, 0.122) [8 per cell]